DFT (meta-GGA SCAN) results for TcGeAu3 at its PBEsol-relaxed geometry.

Results
Its total energy is -51.47 eV per atom. Its symmetry is Pm-3m, No. 221. The energy relative to the elements comes out at 850 meV per atom. The value obtained for the density of states at the Fermi level is 2.6 states/eV per cell.

Cell lengths 4.726, 4.726, 4.726 Å; angles 90.00, 90.00, 90.00 degrees
Fractional positions:
Tc  0.000  0.000  0.000
Ge  0.500  0.500  0.500
Au  0.000  0.500  0.500
Au  0.500  0.000  0.500
Au  0.500  0.500  0.000


DFT (meta-GGA SCAN) results for Ti2Ge2Au at its PBEsol-relaxed geometry.

Results
Its total energy is -28.42 eV per atom. Its symmetry is P4/mbm, No. 127. The energy relative to the elements comes out at -546 meV per atom. The value obtained for the density of states at the Fermi level is 5.1 states/eV per cell.

Cell lengths 6.621, 6.621, 3.616 Å; angles 90.00, 90.00, 90.00 degrees
Fractional positions:
Ti  0.174  0.326  0.000
Ti  0.326  0.826  0.000
Ti  0.674  0.174  0.000
Ti  0.826  0.674  0.000
Ge  0.129  0.629  0.500
Ge  0.371  0.129  0.500
Ge  0.629  0.871  0.500
Ge  0.871  0.371  0.500
Au  0.000  0.000  0.500
Au  0.500  0.500  0.500


DFT (meta-GGA SCAN) results for TmGeAu at its PBEsol-relaxed geometry.

Results
Its total energy is -47.73 eV per atom. Its symmetry is P6_3mc, No. 186. The energy relative to the elements comes out at -1041 meV per atom. The value obtained for the density of states at the Fermi level is 0.6 states/eV per cell.

Cell lengths 4.387, 4.387, 7.061 Å; angles 90.00, 90.00, 120.00 degrees
Fractional positions:
Tm  0.000  0.000  0.000
Tm  0.000  0.000  0.500
Ge  0.333  0.667  0.293
Ge  0.667  0.333  0.793
Au  0.333  0.667  0.704
Au  0.667  0.333  0.204


DFT (meta-GGA SCAN) results for YGeAu at its PBEsol-relaxed geometry.

Results
Its total energy is -39.79 eV per atom. Its symmetry is P6_3mc, No. 186. The energy relative to the elements comes out at -1091 meV per atom. The value obtained for the density of states at the Fermi level is 0.6 states/eV per cell.

Cell lengths 4.411, 4.411, 7.204 Å; angles 90.00, 90.00, 120.00 degrees
Fractional positions:
Y  0.000  0.000  0.000
Y  0.000  0.000  0.500
Ge  0.333  0.667  0.208
Ge  0.667  0.333  0.708
Au  0.333  0.667  0.788
Au  0.667  0.333  0.288


DFT (meta-GGA SCAN) results for ZrGeAu2 at its PBEsol-relaxed geometry.

Results
Its total energy is -47.45 eV per atom. Its symmetry is Fm-3m, No. 225. The energy relative to the elements comes out at -427 meV per atom. The value obtained for the density of states at the Fermi level is 1.3 states/eV per cell.

Cell lengths 4.693, 4.693, 4.693 Å; angles 60.00, 60.00, 60.00 degrees
Fractional positions:
Zr  0.000  0.000  0.000
Ge  0.500  0.500  0.500
Au  0.250  0.250  0.250
Au  0.750  0.750  0.750


DFT (meta-GGA SCAN) results for Zr2GeAu2 at its PBEsol-relaxed geometry.

Results
Its total energy is -43.89 eV per atom. Its symmetry is I4/mmm, No. 139. The energy relative to the elements comes out at -126 meV per atom. The value obtained for the density of states at the Fermi level is 3.2 states/eV per cell.

Cell lengths 6.466, 6.466, 6.466 Å; angles 139.71, 139.71, 58.29 degrees
Fractional positions:
Zr  0.250  0.750  0.500
Zr  0.750  0.250  0.500
Ge  0.000  0.000  0.000
Au  0.389  0.389  0.000
Au  0.611  0.611  0.000


DFT (meta-GGA SCAN) results for HfH3Au at its PBEsol-relaxed geometry.

Results
Its total energy is -28.11 eV per atom. Its symmetry is Pm-3m, No. 221. The value obtained for the density of states at the Fermi level is 2.4 states/eV per cell.

Cell lengths 3.622, 3.622, 3.622 Å; angles 90.00, 90.00, 90.00 degrees
Fractional positions:
Hf  0.000  0.000  0.000
H  0.000  0.500  0.500
H  0.500  0.000  0.500
H  0.500  0.500  0.000
Au  0.500  0.500  0.500


DFT (meta-GGA SCAN) results for Hf3HAu at its PBEsol-relaxed geometry.

Results
Its total energy is -52.55 eV per atom. Its symmetry is Pm-3m, No. 221. The value obtained for the density of states at the Fermi level is 3.7 states/eV per cell.

Cell lengths 4.303, 4.303, 4.303 Å; angles 90.00, 90.00, 90.00 degrees
Fractional positions:
Hf  0.000  0.000  0.500
Hf  0.000  0.500  0.000
Hf  0.500  0.000  0.000
H  0.000  0.000  0.000
Au  0.500  0.500  0.500


DFT (meta-GGA SCAN) results for HfH2Au at its PBEsol-relaxed geometry.

Results
Its total energy is -34.71 eV per atom. Its symmetry is Fm-3m, No. 225. The value obtained for the density of states at the Fermi level is 0.8 states/eV per cell.

Cell lengths 3.933, 3.933, 3.933 Å; angles 60.00, 60.00, 60.00 degrees
Fractional positions:
Hf  0.000  0.000  0.000
H  0.250  0.250  0.250
H  0.750  0.750  0.750
Au  0.500  0.500  0.500


DFT (meta-GGA SCAN) results for NaHg2HAu at its PBEsol-relaxed geometry.

Results
Its total energy is -42.64 eV per atom. Its symmetry is P4/mmm, No. 123. The value obtained for the density of states at the Fermi level is 1.0 states/eV per cell.

Cell lengths 5.305, 5.305, 3.478 Å; angles 90.00, 90.00, 90.00 degrees
Fractional positions:
Na  0.000  0.000  0.000
Hg  0.000  0.500  0.500
Hg  0.500  0.000  0.500
H  0.500  0.500  0.500
Au  0.500  0.500  0.000


DFT (meta-GGA SCAN) results for HgHAu2Se at its PBEsol-relaxed geometry.

Results
Its total energy is -45.39 eV per atom. Its symmetry is P4/mmm, No. 123. The value obtained for the density of states at the Fermi level is 2.7 states/eV per cell.

Cell lengths 5.255, 5.255, 3.393 Å; angles 90.00, 90.00, 90.00 degrees
Fractional positions:
Hg  0.000  0.000  0.000
H  0.000  0.000  0.500
Au  0.000  0.500  0.000
Au  0.500  0.000  0.000
Se  0.500  0.500  0.500


DFT (meta-GGA SCAN) results for YHgHAu2 at its PBEsol-relaxed geometry.

Results
Its total energy is -46.87 eV per atom. Its symmetry is P4/mmm, No. 123. The value obtained for the density of states at the Fermi level is 1.7 states/eV per cell.

Cell lengths 5.394, 5.394, 5.922 Å; angles 90.00, 90.00, 90.00 degrees
Fractional positions:
Y  0.000  0.000  0.000
Hg  0.000  0.000  0.500
H  0.500  0.500  0.500
Au  0.000  0.500  0.000
Au  0.500  0.000  0.000


DFT (meta-GGA SCAN) results for H3AuI at its PBEsol-relaxed geometry.

Results
Its total energy is -22.47 eV per atom. Its symmetry is Pm-3m, No. 221. The value obtained for the density of states at the Fermi level is 2.6 states/eV per cell.

Cell lengths 3.904, 3.904, 3.904 Å; angles 90.00, 90.00, 90.00 degrees
Fractional positions:
H  0.000  0.000  0.500
H  0.000  0.500  0.000
H  0.500  0.000  0.000
Au  0.000  0.000  0.000
I  0.500  0.500  0.500


DFT (meta-GGA SCAN) results for HAuIO2 at its PBEsol-relaxed geometry.

Results
Its total energy is -23.22 eV per atom. Its symmetry is P4/mmm, No. 123. The value obtained for the density of states at the Fermi level is 3.4 states/eV per cell.

Cell lengths 4.172, 4.172, 3.459 Å; angles 90.00, 90.00, 90.00 degrees
Fractional positions:
H  0.000  0.000  0.000
Au  0.500  0.500  0.500
I  0.000  0.000  0.500
O  0.000  0.500  0.000
O  0.500  0.000  0.000


DFT (meta-GGA SCAN) results for Sb2HAuI at its PBEsol-relaxed geometry.

Results
Its total energy is -36.08 eV per atom. Its symmetry is P4/mmm, No. 123. The value obtained for the density of states at the Fermi level is 2.8 states/eV per cell.

Cell lengths 4.397, 4.397, 5.453 Å; angles 90.00, 90.00, 90.00 degrees
Fractional positions:
Sb  0.000  0.500  0.000
Sb  0.500  0.000  0.000
H  0.000  0.000  0.000
Au  0.500  0.500  0.500
I  0.000  0.000  0.500


DFT (meta-GGA SCAN) results for HIrAu3 at its PBEsol-relaxed geometry.

Results
Its total energy is -55.80 eV per atom. Its symmetry is Pm-3m, No. 221. The value obtained for the density of states at the Fermi level is 2.8 states/eV per cell.

Cell lengths 4.077, 4.077, 4.077 Å; angles 90.00, 90.00, 90.00 degrees
Fractional positions:
H  0.000  0.000  0.000
Ir  0.500  0.500  0.500
Au  0.000  0.000  0.500
Au  0.000  0.500  0.000
Au  0.500  0.000  0.000


DFT (meta-GGA SCAN) results for HIrOsAu2 at its PBEsol-relaxed geometry.

Results
Its total energy is -54.98 eV per atom. Its symmetry is P4/mmm, No. 123. The value obtained for the density of states at the Fermi level is 5.7 states/eV per cell.

Cell lengths 5.009, 5.009, 4.604 Å; angles 90.00, 90.00, 90.00 degrees
Fractional positions:
H  0.000  0.000  0.000
Ir  0.500  0.500  0.000
Os  0.500  0.500  0.500
Au  0.000  0.500  0.500
Au  0.500  0.000  0.500


DFT (meta-GGA SCAN) results for HIr2PbAu at its PBEsol-relaxed geometry.

Results
Its total energy is -57.54 eV per atom. Its symmetry is P4/mmm, No. 123. The value obtained for the density of states at the Fermi level is 1.2 states/eV per cell.

Cell lengths 4.152, 4.152, 4.044 Å; angles 90.00, 90.00, 90.00 degrees
Fractional positions:
H  0.000  0.000  0.000
Ir  0.000  0.500  0.000
Ir  0.500  0.000  0.000
Pb  0.500  0.500  0.500
Au  0.000  0.000  0.500


DFT (meta-GGA SCAN) results for K3HAu at its PBEsol-relaxed geometry.

Results
Its total energy is -19.74 eV per atom. Its symmetry is Pm-3m, No. 221. The value obtained for the density of states at the Fermi level is 2.7 states/eV per cell.

Cell lengths 5.230, 5.230, 5.230 Å; angles 90.00, 90.00, 90.00 degrees
Fractional positions:
K  0.000  0.000  0.500
K  0.000  0.500  0.000
K  0.500  0.000  0.000
H  0.000  0.000  0.000
Au  0.500  0.500  0.500


DFT (meta-GGA SCAN) results for KH2Au at its PBEsol-relaxed geometry.

Results
Its total energy is -21.32 eV per atom. Its symmetry is I-42d, No. 122. The value obtained for the density of states at the Fermi level is 0.1 states/eV per cell.

Cell lengths 5.517, 5.517, 5.517 Å; angles 118.88, 118.88, 91.95 degrees
Fractional positions:
K  0.000  0.000  0.000
K  0.750  0.250  0.500
H  0.272  0.625  0.147
H  0.375  0.522  0.647
H  0.478  0.125  0.853
H  0.875  0.728  0.353
Au  0.250  0.750  0.500
Au  0.500  0.500  0.000


DFT (meta-GGA SCAN) results for K2LiHAu at its PBEsol-relaxed geometry.

Results
Its total energy is -18.53 eV per atom. Its symmetry is P4/mmm, No. 123. The value obtained for the density of states at the Fermi level is 1.7 states/eV per cell.

Cell lengths 5.516, 5.516, 4.036 Å; angles 90.00, 90.00, 90.00 degrees
Fractional positions:
K  0.000  0.500  0.000
K  0.500  0.000  0.000
Li  0.000  0.000  0.500
H  0.000  0.000  0.000
Au  0.500  0.500  0.500


DFT (meta-GGA SCAN) results for K2ReHAu at its PBEsol-relaxed geometry.

Results
Its total energy is -30.92 eV per atom. Its symmetry is P4/mmm, No. 123. The value obtained for the density of states at the Fermi level is 2.4 states/eV per cell.

Cell lengths 6.155, 6.155, 5.014 Å; angles 90.00, 90.00, 90.00 degrees
Fractional positions:
K  0.000  0.500  0.000
K  0.500  0.000  0.000
Re  0.000  0.000  0.500
H  0.500  0.500  0.500
Au  0.000  0.000  0.000


DFT (meta-GGA SCAN) results for La3HAu at its PBEsol-relaxed geometry.

Results
Its total energy is -40.78 eV per atom. Its symmetry is Pm-3m, No. 221. The value obtained for the density of states at the Fermi level is 6.1 states/eV per cell.

Cell lengths 4.900, 4.900, 4.900 Å; angles 90.00, 90.00, 90.00 degrees
Fractional positions:
La  0.000  0.000  0.500
La  0.000  0.500  0.000
La  0.500  0.000  0.000
H  0.000  0.000  0.000
Au  0.500  0.500  0.500


DFT (meta-GGA SCAN) results for La2H2Au at its PBEsol-relaxed geometry.

Results
Its total energy is -33.28 eV per atom. Its symmetry is I4/mmm, No. 139. The value obtained for the density of states at the Fermi level is 3.0 states/eV per cell.

Cell lengths 7.088, 7.088, 7.088 Å; angles 149.14, 149.14, 44.21 degrees
Fractional positions:
La  0.141  0.141  0.000
La  0.859  0.859  0.000
H  0.250  0.750  0.500
H  0.750  0.250  0.500
Au  0.500  0.500  0.000


DFT (meta-GGA SCAN) results for Li3HAu at its PBEsol-relaxed geometry.

Results
Its total energy is -16.44 eV per atom. Its symmetry is Pm-3m, No. 221. The value obtained for the density of states at the Fermi level is 1.3 states/eV per cell.

Cell lengths 3.907, 3.907, 3.907 Å; angles 90.00, 90.00, 90.00 degrees
Fractional positions:
Li  0.000  0.000  0.500
Li  0.000  0.500  0.000
Li  0.500  0.000  0.000
H  0.000  0.000  0.000
Au  0.500  0.500  0.500


DFT (meta-GGA SCAN) results for LiH2Au2 at its PBEsol-relaxed geometry.

Results
Its total energy is -29.71 eV per atom. Its symmetry is P4/mmm, No. 123. The value obtained for the density of states at the Fermi level is 1.0 states/eV per cell.

Cell lengths 4.064, 4.064, 3.588 Å; angles 90.00, 90.00, 90.00 degrees
Fractional positions:
Li  0.000  0.000  0.000
H  0.000  0.500  0.000
H  0.500  0.000  0.000
Au  0.000  0.500  0.500
Au  0.500  0.000  0.500


DFT (meta-GGA SCAN) results for LiMg2HAu at its PBEsol-relaxed geometry.

Results
Its total energy is -17.50 eV per atom. Its symmetry is P4/mmm, No. 123. The value obtained for the density of states at the Fermi level is 1.0 states/eV per cell.

Cell lengths 4.383, 4.383, 3.604 Å; angles 90.00, 90.00, 90.00 degrees
Fractional positions:
Li  0.000  0.000  0.000
Mg  0.000  0.500  0.500
Mg  0.500  0.000  0.500
H  0.000  0.000  0.500
Au  0.500  0.500  0.000


DFT (meta-GGA SCAN) results for MgHAu3 at its PBEsol-relaxed geometry.

Results
Its total energy is -42.19 eV per atom. Its symmetry is Pm-3m, No. 221. The value obtained for the density of states at the Fermi level is 2.2 states/eV per cell.

Cell lengths 4.927, 4.927, 4.927 Å; angles 90.00, 90.00, 90.00 degrees
Fractional positions:
Mg  0.000  0.000  0.000
H  0.500  0.500  0.500
Au  0.000  0.000  0.500
Au  0.000  0.500  0.000
Au  0.500  0.000  0.000